A plane-wave DFT calculation with PBE was carried out for a relaxed structure of Na2HfPa2Te6.

Values from the calculation:
D(E_F) in states/eV/f.u.: 11.61
V in A^3/atom: 32.95
Formation energy from raw total energies in eV/f.u.: -9.3

Cell lengths 7.282, 12.628, 8.276 Å; angles 90.00, 107.73, 90.00 degrees
Space group C2/m (No. 12)
Symmetry-distinct sites (fractional):
Na  0.000  0.171  0.000 [4 per cell]
Hf  0.000  0.000  0.500 [2 per cell]
Pa  0.000  0.331  0.500 [4 per cell]
Te  0.242  0.000  0.269 [4 per cell]
Te  0.242  0.157  0.734 [8 per cell]